Compound: AgPb2
Source: Alexandria via LeMat-Bulk
Functional: GGA-PBE
Structure: relaxed

## Properties
For the calculated volume, the calculation gives 27.127 Å³/atom. The calculation puts the formation energy from the elements at 0.07 eV/atom. For the density, the calculation gives 10.657 g/cm3. The value obtained for the total energy is -30.1 eV for the cell shown.

Cell lengths 7.9598, 7.9598, 4.4495 Å; angles 90.00, 90.00, 120.00 degrees
With the nearest neighbours (Å) after each atom.
Atoms (fractional coordinates):
Ag1 0.0000 0.0000 0.0000  9 Pb 3.03-3.25
Ag2 0.3333 0.6667 0.5000  9 Pb 3.00-3.28
Ag3 0.6667 0.3333 0.5000  9 Pb 3.00-3.28
Pb1 0.0000 0.2579 0.5000  4 Ag 3.00-3.03
Pb2 0.0000 0.5916 0.0000  5 Ag 3.25-3.28, 6 Pb 3.46-3.61
Pb3 0.2579 0.0000 0.5000  4 Ag 3.00-3.03
Pb4 0.4084 0.4084 0.0000  5 Ag 3.25-3.28, 6 Pb 3.46-3.61
Pb5 0.5916 0.0000 0.0000  5 Ag 3.25-3.28, 6 Pb 3.46-3.61
Pb6 0.7421 0.7421 0.5000  4 Ag 3.00-3.03

***

Compound: CsLiTcCl6
Source: Alexandria via LeMat-Bulk
Functional: GGA-PBE
Structure: relaxed

## Properties
For the calculated volume, the calculation gives 32.118 Å³/atom. For the density, the calculation gives 2.588 g/cm3. The value obtained for the total energy is -35.7 eV for the cell shown.

Cell lengths 6.5412, 6.5412, 7.8006 Å; angles 90.00, 90.00, 120.00 degrees
With the nearest neighbours (Å) after each atom.
Atoms (fractional coordinates):
Cs1 0.0000 0.0000 0.0000  6 Cl 3.50
Li1 0.3333 0.6667 0.5000  6 Cl 2.59
Tc1 0.6667 0.3333 0.5000  6 Cl 2.38
Cl1 0.3822 0.0248 0.6761  1 Tc 2.38, 1 Li 2.59
Cl2 0.3822 0.3574 0.3239  1 Tc 2.38, 1 Li 2.59
Cl3 0.6426 0.0248 0.3239  1 Tc 2.38, 1 Li 2.59
Cl4 0.6426 0.6178 0.6761  1 Tc 2.38, 1 Li 2.59
Cl5 0.9752 0.3574 0.6761  1 Tc 2.38, 1 Li 2.59
Cl6 0.9752 0.6178 0.3239  1 Tc 2.38, 1 Li 2.59

***

Compound: Al2FeRe
Source: Alexandria via LeMat-Bulk
Functional: GGA-PBE
Structure: relaxed

## Properties
For the calculated volume, the calculation gives 14.935 Å³/atom. The calculation puts the formation energy from the elements at 0.41 eV/atom. Its energy above the most stable polymorph in this dataset is 0.5852 eV/atom. For the density, the calculation gives 8.228 g/cm3. The value obtained for the total energy is -53.5 eV for the cell shown.

Cell lengths 5.4320, 5.4320, 5.4320 Å; angles 103.97, 103.97, 121.14 degrees
With the nearest neighbours (Å) after each atom.
Atoms (fractional coordinates):
Al1 0.1054 0.6250 0.9804  2 Fe 2.37, 2 Re 2.55
Al2 0.3750 0.3554 0.4804  2 Fe 2.37, 2 Re 2.55
Al3 0.6446 0.1250 0.0196  2 Fe 2.37, 2 Re 2.55
Al4 0.8750 0.8946 0.5196  2 Fe 2.37, 2 Re 2.55
Fe1 0.0000 0.0000 0.0000  4 Al 2.37
Fe2 0.7500 0.2500 0.5000  4 Al 2.37
Re1 0.2500 0.7500 0.5000  4 Al 2.55, 2 Fe 2.67
Re2 0.5000 0.5000 0.0000  4 Al 2.55, 2 Fe 2.67

***

Compound: TbIn2SnS4
Source: Alexandria via LeMat-Bulk
Functional: GGA-PBE
Structure: relaxed

## Properties
For the calculated volume, the calculation gives 25.120 Å³/atom. For the density, the calculation gives 5.251 g/cm3. The value obtained for the total energy is -37.4 eV for the cell shown.

Cell lengths 7.2218, 4.0138, 7.3076 Å; angles 90.00, 108.43, 90.00 degrees
With the nearest neighbours (Å) after each atom.
Atoms (fractional coordinates):
Tb1 0.0000 0.0000 0.0000  6 S 2.75-2.79
In1 0.0000 0.5000 0.5000  6 S 2.93-2.98
In2 0.5000 0.0000 0.5000  6 S 3.10-3.11
Sn1 0.5000 0.5000 0.0000  6 S 2.92-2.93
S1 0.2241 0.5000 0.2201  2 Tb 2.75, 1 Sn 2.93, 1 In 2.98
S2 0.2368 0.0000 0.7637  1 Tb 2.79, 2 Sn 2.92, 3 In 2.93-3.11
S3 0.7632 0.0000 0.2363  1 Tb 2.79, 2 Sn 2.92, 3 In 2.93-3.11
S4 0.7759 0.5000 0.7799  2 Tb 2.75, 1 Sn 2.93, 1 In 2.98

***

Compound: Nd5OsBr5
Source: Alexandria via LeMat-Bulk
Functional: GGA-PBE
Structure: relaxed

## Properties
For the calculated volume, the calculation gives 30.340 Å³/atom. For the density, the calculation gives 6.523 g/cm3. The value obtained for the total energy is -56.1 eV for the cell shown.

Cell lengths 7.2301, 7.2301, 8.9514 Å; angles 107.35, 107.35, 49.02 degrees
With the nearest neighbours (Å) after each atom.
Atoms (fractional coordinates):
Nd1 0.0000 0.0000 0.0000  2 Os 3.00, 4 Br 3.12-3.26
Nd2 0.3337 0.3337 0.1328  1 Os 2.81, 2 Br 3.08
Nd3 0.3547 0.3547 0.7108  1 Os 2.67
Nd4 0.6453 0.6453 0.2892  1 Os 2.67
Nd5 0.6663 0.6663 0.8672  1 Os 2.81, 2 Br 3.08
Os1 0.5000 0.5000 0.0000  4 Nd 2.67-2.81
Br1 0.1444 0.1444 0.7851  5 Nd 3.05-3.29
Br2 0.1730 0.1730 0.3575  5 Nd 3.06-3.36
Br3 0.5000 0.5000 0.5000  4 Nd 3.10-3.30
Br4 0.8270 0.8270 0.6425  5 Nd 3.06-3.36
Br5 0.8556 0.8556 0.2149  5 Nd 3.05-3.29

***

Compound: KTaGe3
Source: Alexandria via LeMat-Bulk
Functional: GGA-PBE
Structure: relaxed

## Properties
For the calculated volume, the calculation gives 26.496 Å³/atom. The calculation puts the formation energy from the elements at 0.05 eV/atom. Its energy above the most stable polymorph in this dataset is 0.0000 eV/atom. For the density, the calculation gives 5.490 g/cm3. The value obtained for the total energy is -26.6 eV for the cell shown.

Cell lengths 5.0978, 5.0978, 5.0978 Å; angles 90.00, 90.00, 90.00 degrees
With the nearest neighbours (Å) after each atom.
Atoms (fractional coordinates):
K1 0.0000 0.0000 0.0000  12 Ge 3.60
Ta1 0.5000 0.5000 0.5000  6 Ge 2.55
Ge1 0.0000 0.5000 0.5000  2 Ta 2.55
Ge2 0.5000 0.0000 0.5000  2 Ta 2.55
Ge3 0.5000 0.5000 0.0000  2 Ta 2.55

***

Compound: LaYBe2
Source: Alexandria via LeMat-Bulk
Functional: GGA-PBE
Structure: relaxed

## Properties
For the calculated volume, the calculation gives 20.301 Å³/atom. The calculation puts the formation energy from the elements at 0.62 eV/atom. Its energy above the most stable polymorph in this dataset is 0.5271 eV/atom. For the density, the calculation gives 5.027 g/cm3. The value obtained for the total energy is -16.3 eV for the cell shown.

Cell lengths 4.8607, 4.8607, 4.8607 Å; angles 60.00, 60.00, 60.00 degrees
With the nearest neighbours (Å) after each atom.
Atoms (fractional coordinates):
La1 0.0000 0.0000 0.0000  4 Be 2.98, 4 Y 2.98
Y1 0.2500 0.2500 0.2500  4 La 2.98, 4 Be 2.98
Be1 0.5000 0.5000 0.5000  4 Be 2.98, 4 Y 2.98
Be2 0.7500 0.7500 0.7500  4 La 2.98, 4 Be 2.98

***

Compound: Mg6MnFe
Source: Alexandria via LeMat-Bulk
Functional: GGA-PBE
Structure: relaxed

## Properties
For the calculated volume, the calculation gives 19.311 Å³/atom. The calculation puts the formation energy from the elements at 0.23 eV/atom. Its energy above the most stable polymorph in this dataset is 0.0187 eV/atom. For the density, the calculation gives 2.758 g/cm3. The value obtained for the total energy is -25.4 eV for the cell shown.

Cell lengths 4.8240, 6.0584, 6.0584 Å; angles 60.75, 90.00, 90.00 degrees
With the nearest neighbours (Å) after each atom.
Atoms (fractional coordinates):
Mg1 0.0000 0.0000 0.0000  10 Mg 2.91-3.15, 2 Fe 2.94
Mg2 0.0000 0.4833 0.9923  8 Mg 2.91-3.15, 2 Fe 2.95, 2 Mn 2.98
Mg3 0.0000 0.4991 0.4991  10 Mg 2.94-3.12, 2 Mn 2.96
Mg4 0.0000 0.9923 0.4833  8 Mg 2.91-3.15, 2 Fe 2.95, 2 Mn 2.98
Mg5 0.5000 0.1628 0.6612  8 Mg 3.00-3.07, 2 Mn 3.02-3.04, 2 Fe 3.02-3.04
Mg6 0.5000 0.6612 0.1628  8 Mg 3.00-3.07, 2 Mn 3.02-3.04, 2 Fe 3.02-3.04
Mn1 0.5000 0.6636 0.6636  10 Mg 2.96-3.04, 2 Fe 3.06
Fe1 0.5000 0.1610 0.1610  10 Mg 2.94-3.04, 2 Mn 3.06

***

Compound: RbGe3Ru
Source: Alexandria via LeMat-Bulk
Functional: GGA-PBE
Structure: relaxed

## Properties
For the calculated volume, the calculation gives 24.320 Å³/atom. The calculation puts the formation energy from the elements at 0.23 eV/atom. Its energy above the most stable polymorph in this dataset is 0.0000 eV/atom. For the density, the calculation gives 5.523 g/cm3. The value obtained for the total energy is -22.9 eV for the cell shown.

Cell lengths 4.9542, 4.9542, 4.9542 Å; angles 90.00, 90.00, 90.00 degrees
With the nearest neighbours (Å) after each atom.
Atoms (fractional coordinates):
Rb1 0.0000 0.0000 0.0000  12 Ge 3.50
Ge1 0.0000 0.5000 0.5000  2 Ru 2.48
Ge2 0.5000 0.0000 0.5000  2 Ru 2.48
Ge3 0.5000 0.5000 0.0000  2 Ru 2.48
Ru1 0.5000 0.5000 0.5000  6 Ge 2.48

***

Compound: FePRh2
Source: Alexandria via LeMat-Bulk
Functional: GGA-PBE
Structure: relaxed

## Properties
For the calculated volume, the calculation gives 13.132 Å³/atom. The calculation puts the formation energy from the elements at -0.12 eV/atom. For the density, the calculation gives 9.250 g/cm3. The value obtained for the total energy is -29.0 eV for the cell shown.

Cell lengths 8.0455, 8.0455, 8.0455 Å; angles 19.85, 19.85, 19.85 degrees
With the nearest neighbours (Å) after each atom.
Atoms (fractional coordinates):
Fe1 0.0000 0.0000 0.0000  3 P 2.35, 3 Rh 2.59
P1 0.7395 0.7395 0.7395  3 Fe 2.35, 3 Rh 2.39
Rh1 0.2470 0.2470 0.2470  3 Fe 2.59, 9 Rh 2.77-2.84
Rh2 0.4813 0.4813 0.4813  3 P 2.39

***

Compound: Ag2SeI
Source: Alexandria via LeMat-Bulk
Functional: GGA-PBE
Structure: relaxed

## Properties
For the calculated volume, the calculation gives 26.418 Å³/atom. Its energy above the most stable polymorph in this dataset is 0.0575 eV/atom. For the density, the calculation gives 6.625 g/cm3. The value obtained for the total energy is -42.9 eV for the cell shown.

Cell lengths 7.8358, 6.9701, 7.7392 Å; angles 90.00, 90.00, 90.00 degrees
With the nearest neighbours (Å) after each atom.
Atoms (fractional coordinates):
Ag1 0.1507 0.0411 0.1246  3 Se 2.74-2.95, 2 I 2.88-3.00, 1 Ag 2.91
Ag2 0.1507 0.4589 0.1246  3 Se 2.74-2.95, 2 I 2.88-3.00, 1 Ag 2.91
Ag3 0.3493 0.5411 0.6246  3 Se 2.74-2.95, 2 I 2.88-3.00, 1 Ag 2.91
Ag4 0.3493 0.9589 0.6246  3 Se 2.74-2.95, 2 I 2.88-3.00, 1 Ag 2.91
Ag5 0.6507 0.0411 0.3754  3 Se 2.74-2.95, 2 I 2.88-3.00, 1 Ag 2.91
Ag6 0.6507 0.4589 0.3754  3 Se 2.74-2.95, 2 I 2.88-3.00, 1 Ag 2.91
Ag7 0.8493 0.5411 0.8754  3 Se 2.74-2.95, 2 I 2.88-3.00, 1 Ag 2.91
Ag8 0.8493 0.9589 0.8754  3 Se 2.74-2.95, 2 I 2.88-3.00, 1 Ag 2.91
Se1 0.1484 0.7500 0.8859  6 Ag 2.74-2.95
Se2 0.3516 0.2500 0.3859  6 Ag 2.74-2.95
Se3 0.6484 0.7500 0.6141  6 Ag 2.74-2.95
Se4 0.8516 0.2500 0.1141  6 Ag 2.74-2.95
I1 0.1119 0.7500 0.3866  4 Ag 2.88-3.00
I2 0.3881 0.2500 0.8866  4 Ag 2.88-3.00
I3 0.6119 0.7500 0.1134  4 Ag 2.88-3.00
I4 0.8881 0.2500 0.6134  4 Ag 2.88-3.00

***

Compound: MgGa2Ag
Source: Alexandria via LeMat-Bulk
Functional: GGA-PBE
Structure: relaxed

## Properties
For the calculated volume, the calculation gives 18.346 Å³/atom. The calculation puts the formation energy from the elements at -0.11 eV/atom. For the density, the calculation gives 6.146 g/cm3. The value obtained for the total energy is -21.9 eV for the cell shown.

Cell lengths 4.2216, 4.2216, 8.7070 Å; angles 102.75, 102.75, 93.03 degrees
With the nearest neighbours (Å) after each atom.
Atoms (fractional coordinates):
Mg1 0.1274 0.1274 0.2522  8 Ga 2.90-3.06, 4 Ag 2.93-2.95
Mg2 0.8726 0.8726 0.7478  8 Ga 2.90-3.06, 4 Ag 2.93-2.95
Ga1 0.0000 0.5000 0.0000  8 Ga 2.91-3.06, 4 Mg 2.95-2.98
Ga2 0.3678 0.3678 0.7388  4 Ag 2.88-2.89, 4 Mg 2.90-3.06, 4 Ga 3.00-3.03
Ga3 0.5000 0.0000 0.0000  8 Ga 2.91-3.06, 4 Mg 2.95-2.98
Ga4 0.6322 0.6322 0.2612  4 Ag 2.88-2.89, 4 Mg 2.90-3.06, 4 Ga 3.00-3.03
Ag1 0.2496 0.7504 0.5000  4 Ga 2.88-2.89, 4 Ag 2.91-3.07, 4 Mg 2.93-2.95
Ag2 0.7504 0.2496 0.5000  4 Ga 2.88-2.89, 4 Ag 2.91-3.07, 4 Mg 2.93-2.95